# 1
The following is a DFT calculation (PBE) of a relaxed structure of AcScZn.

Unit cell a=5.130 b=5.130 c=5.130 alpha=60.00 beta=60.00 gamma=60.00
Element x y z (fractional)
Ac 0.000 0.000 0.000
Sc 0.250 0.250 0.250
Zn 0.750 0.750 0.750

Values from the calculation:
The value obtained for the energy above the most stable polymorph in this dataset is 591 meV/atom. For the total magnetization, the calculation gives 0.01 μB per cell. Its formation energy is 0.70 eV per atom.

---

# 2
The following is a DFT calculation (PBE) of a relaxed structure of AcSm3Se6.

Unit cell a=11.861 b=4.282 c=12.194 alpha=90.00 beta=108.94 gamma=90.00
Element x y z (fractional)
Ac 0.551 0.250 0.196
Ac 0.449 0.750 0.804
Se 0.379 0.750 0.036
Se 0.981 0.250 0.112
Se 0.769 0.750 0.230
Se 0.302 0.250 0.250
Se 0.585 0.750 0.408
Se 0.108 0.750 0.445
Se 0.892 0.250 0.555
Se 0.415 0.250 0.592
Se 0.698 0.750 0.750
Se 0.231 0.250 0.770
Se 0.019 0.750 0.888
Se 0.621 0.250 0.964
Sm 0.179 0.250 0.000
Sm 0.946 0.250 0.334
Sm 0.340 0.750 0.412
Sm 0.660 0.250 0.588
Sm 0.054 0.750 0.666
Sm 0.821 0.750 0.000

Values from the calculation:
For the total magnetization, the calculation gives 0.00 μB per cell. For the raw total energy, the calculation gives -58.52 eV per formula unit.

---

# 3
The following is a DFT calculation (PBE) of a relaxed structure of AcTb3Se6.

Unit cell a=11.731 b=4.226 c=12.044 alpha=90.00 beta=109.10 gamma=90.00
Element x y z (fractional)
Ac 0.448 0.750 0.302
Ac 0.552 0.250 0.698
Se 0.890 0.250 0.053
Se 0.416 0.250 0.090
Se 0.701 0.750 0.249
Se 0.227 0.250 0.269
Se 0.019 0.750 0.388
Se 0.624 0.250 0.465
Se 0.376 0.750 0.535
Se 0.981 0.250 0.612
Se 0.773 0.750 0.731
Se 0.299 0.250 0.751
Se 0.584 0.750 0.910
Se 0.110 0.750 0.947
Tb 0.660 0.250 0.089
Tb 0.052 0.750 0.166
Tb 0.178 0.250 0.500
Tb 0.822 0.750 0.500
Tb 0.948 0.250 0.834
Tb 0.340 0.750 0.911

Values from the calculation:
For the total magnetization, the calculation gives 0.00 μB per cell. For the raw total energy, the calculation gives -58.30 eV per formula unit.

---

# 4
The following is a DFT calculation (PBE) of a relaxed structure of Ac3TcSe.

Unit cell a=7.987 b=7.987 c=7.987 alpha=119.46 beta=88.47 gamma=122.34
Element x y z (fractional)
Ac 0.681 0.000 0.181
Ac 0.092 0.842 0.250
Ac 0.319 0.500 0.319
Ac 0.681 0.500 0.681
Ac 0.908 0.158 0.750
Ac 0.319 0.000 0.819
Se 0.690 0.440 0.250
Se 0.310 0.560 0.750
Tc 0.000 0.000 0.000
Tc 0.500 0.000 0.500

Values from the calculation:
For the total magnetization, the calculation gives 0.01 μB per cell. For the raw total energy, the calculation gives -28.44 eV per formula unit.

---

# 5
The following is a DFT calculation (PBE) of a relaxed structure of Ac3TmSe6.

Unit cell a=7.340 b=8.001 c=12.914 alpha=90.00 beta=122.75 gamma=90.00
Element x y z (fractional)
Ac 0.500 0.500 0.000
Ac 0.208 0.593 0.245
Ac 0.792 0.093 0.255
Ac 0.500 0.000 0.500
Ac 0.208 0.907 0.745
Ac 0.792 0.407 0.755
Se 0.907 0.304 0.074
Se 0.767 0.821 0.075
Se 0.383 0.944 0.236
Se 0.617 0.444 0.264
Se 0.233 0.321 0.425
Se 0.093 0.804 0.426
Se 0.907 0.196 0.574
Se 0.767 0.679 0.575
Se 0.383 0.556 0.736
Se 0.617 0.056 0.764
Se 0.233 0.179 0.925
Se 0.093 0.696 0.926
Tm 0.000 0.000 0.000
Tm 0.000 0.500 0.500

Values from the calculation:
For the total magnetization, the calculation gives 0.00 μB per cell. For the raw total energy, the calculation gives -57.23 eV per formula unit.

---

# 6
The following is a DFT calculation (PBE) of a relaxed structure of AcTm2Se4.

Unit cell a=6.967 b=6.967 c=13.846 alpha=90.00 beta=90.00 gamma=145.55
Element x y z (fractional)
Ac 0.620 0.380 0.250
Ac 0.380 0.620 0.750
Se 0.500 0.500 0.000
Se 0.231 0.769 0.116
Se 0.946 0.054 0.250
Se 0.231 0.769 0.384
Se 0.500 0.500 0.500
Se 0.769 0.231 0.616
Se 0.054 0.946 0.750
Se 0.769 0.231 0.884
Tm 0.870 0.130 0.063
Tm 0.870 0.130 0.437
Tm 0.130 0.870 0.563
Tm 0.130 0.870 0.937

Values from the calculation:
For the total magnetization, the calculation gives 0.01 μB per cell. For the raw total energy, the calculation gives -40.25 eV per formula unit.

---

# 7
The following is a DFT calculation (PBE) of a relaxed structure of Ac5U2Se12.

Unit cell a=9.395 b=9.395 c=9.864 alpha=105.74 beta=105.74 gamma=50.71
Site moments in Bohr magnetons follow the coordinates.
Element x y z (fractional)
Ac 0.312 0.312 0.172  -0.01
Ac 0.702 0.702 0.361  0.00
Ac 0.000 0.000 0.500  -0.01
Ac 0.298 0.298 0.639  0.00
Ac 0.688 0.688 0.828  -0.01
Se 0.905 0.434 0.085  -0.04
Se 0.434 0.905 0.085  -0.04
Se 0.000 0.000 0.190  -0.06
Se 0.503 0.503 0.204  -0.05
Se 0.599 0.102 0.431  -0.01
Se 0.102 0.599 0.431  -0.01
Se 0.898 0.401 0.569  -0.01
Se 0.401 0.898 0.569  -0.01
Se 0.497 0.497 0.796  -0.05
Se 0.000 0.000 0.810  -0.06
Se 0.566 0.095 0.915  -0.04
Se 0.095 0.566 0.915  -0.04
U 0.749 0.251 0.000  1.72
U 0.251 0.749 0.000  1.72

Values from the calculation:
For the total magnetization, the calculation gives 3.01 μB per cell. For the raw total energy, the calculation gives -117.62 eV per formula unit.

---

# 8
The following is a DFT calculation (PBE) of a relaxed structure of AcU2Se5.

Unit cell a=8.784 b=8.784 c=8.784 alpha=129.15 beta=129.15 gamma=74.78
Site moments in Bohr magnetons follow the coordinates.
Element x y z (fractional)
Ac 0.250 0.250 0.000  0.00
Ac 0.750 0.750 0.000  0.00
Se 0.000 0.000 0.000  -0.03
Se 0.500 0.500 0.000  -0.03
Se 0.193 0.693 0.165  -0.01
Se 0.472 0.972 0.165  -0.01
Se 0.028 0.193 0.500  -0.01
Se 0.307 0.472 0.500  -0.02
Se 0.693 0.528 0.500  -0.02
Se 0.972 0.807 0.500  -0.01
Se 0.528 0.028 0.835  -0.01
Se 0.807 0.307 0.835  -0.01
U 0.885 0.385 0.269  0.52
U 0.385 0.115 0.500  0.52
U 0.615 0.885 0.500  0.52
U 0.115 0.615 0.731  0.52

Values from the calculation:
For the total magnetization, the calculation gives 1.99 μB per cell. For the raw total energy, the calculation gives -55.40 eV per formula unit.

---

What did the fourth record say?
The following is a DFT calculation (PBE) of a relaxed structure of Ac3TcSe.

Unit cell a=7.987 b=7.987 c=7.987 alpha=119.46 beta=88.47 gamma=122.34
Element x y z (fractional)
Ac 0.681 0.000 0.181
Ac 0.092 0.842 0.250
Ac 0.319 0.500 0.319
Ac 0.681 0.500 0.681
Ac 0.908 0.158 0.750
Ac 0.319 0.000 0.819
Se 0.690 0.440 0.250
Se 0.310 0.560 0.750
Tc 0.000 0.000 0.000
Tc 0.500 0.000 0.500

Values from the calculation:
For the total magnetization, the calculation gives 0.01 μB per cell. For the raw total energy, the calculation gives -28.44 eV per formula unit.